Computed, not measured: an optimized crystal structure of Ag2Hg2Br at the PBE level of DFT.

Structure (POSCAR):
```
Ag2Hg2Br
1.0
8.9201 0.0000 0.0000
0.0000 8.9201 0.0000
0.0000 0.0000 2.9681
Ag Hg Br
4 4 2
Direct
0.1112 0.3888 0.0000 Ag
0.3888 0.8888 0.0000 Ag
0.6112 0.1112 0.0000 Ag
0.8888 0.6112 0.0000 Ag
0.1867 0.6867 0.5000 Hg
0.3133 0.1867 0.5000 Hg
0.6867 0.8133 0.5000 Hg
0.8133 0.3133 0.5000 Hg
0.0000 0.0000 0.5000 Br
0.5000 0.5000 0.5000 Br
```

Output
Energy (Ry/atom): -0.1126
Magnetization (μB per cell): 0.00
Formation energy without anion corrections (meV per atom): 64
DOS(E_F) (states/eV/cell): 2.7



Computed, not measured: an optimized crystal structure of Ag2Hg2Br5 at the PBE level of DFT.

Structure (POSCAR):
```
Ag2Hg2Br5
1.0
-9.7655 3.6017 4.0993
9.7655 -3.6017 4.0993
9.7655 3.6017 -4.0993
Ag Hg Br
4 4 10
Direct
0.0515 0.1215 0.1730 Ag
0.0515 0.3785 0.4301 Ag
0.9485 0.6215 0.5699 Ag
0.9485 0.8785 0.8270 Ag
0.4768 0.4768 0.0000 Hg
0.4768 0.9768 0.5000 Hg
0.6025 0.8722 0.2303 Hg
0.6419 0.3722 0.7697 Hg
0.1097 0.1745 0.4352 Br
0.2860 0.5959 0.9382 Br
0.2860 0.8478 0.1901 Br
0.4870 0.2898 0.3135 Br
0.4870 0.6735 0.6971 Br
0.6577 0.0959 0.8099 Br
0.6577 0.3478 0.0618 Br
0.7393 0.6745 0.5648 Br
0.9763 0.1735 0.6865 Br
0.9763 0.7898 0.3029 Br
```

Output
Energy (Ry/atom): -0.1418
Magnetization (μB per cell): 0.00
Formation energy without anion corrections (meV per atom): -300
DOS(E_F) (states/eV/cell): 2.9



Computed, not measured: an optimized crystal structure of AgHgBr6 at the PBE level of DFT.

Structure (POSCAR):
```
AgHgBr6
1.0
6.9161 0.0000 0.0000
-2.3452 6.7147 0.0000
-1.8271 -0.6834 7.0878
Ag Hg Br
1 1 6
Direct
0.0000 0.0000 0.0000 Ag
0.0000 0.5000 0.5000 Hg
0.1794 0.8385 0.4292 Br
0.1828 0.3595 0.1430 Br
0.4203 0.1219 0.0422 Br
0.5797 0.8781 0.9578 Br
0.8172 0.6405 0.8570 Br
0.8206 0.1615 0.5708 Br
```

Output
Energy (Ry/atom): -0.1344
Magnetization (μB per cell): 0.00
Formation energy without anion corrections (meV per atom): -180
DOS(E_F) (states/eV/cell): 1.9



Computed, not measured: an optimized crystal structure of AgHgBr2 at the PBE level of DFT.

Structure (POSCAR):
```
AgHgBr2
1.0
4.1394 0.0000 0.0000
-2.0697 3.5848 0.0000
0.0000 0.0000 22.4443
Ag Hg Br
3 3 6
Direct
0.0000 0.0000 0.0000 Ag
0.3333 0.6667 0.6667 Ag
0.6667 0.3333 0.3333 Ag
0.0000 0.0000 0.8313 Hg
0.3333 0.6667 0.4980 Hg
0.6667 0.3333 0.1647 Hg
0.0000 0.0000 0.4033 Br
0.0000 0.0000 0.5949 Br
0.3333 0.6667 0.0700 Br
0.3333 0.6667 0.2616 Br
0.6667 0.3333 0.7367 Br
0.6667 0.3333 0.9283 Br
```

Output
Energy (Ry/atom): -0.1328
Magnetization (μB per cell): 0.00
Formation energy without anion corrections (meV per atom): -183
DOS(E_F) (states/eV/cell): 10.0



Computed, not measured: an optimized crystal structure of AgHgBr2 at the PBE level of DFT.

Structure (POSCAR):
```
AgHgBr2
1.0
4.3235 0.0000 0.0000
0.0000 3.9750 0.0000
-0.0956 0.0000 7.2167
Ag Hg Br
1 1 2
Direct
0.0000 0.0000 0.0000 Ag
0.5000 0.0000 0.5000 Hg
0.1987 0.5000 0.2274 Br
0.8013 0.5000 0.7726 Br
```

Output
Energy (Ry/atom): -0.1327
Magnetization (μB per cell): 0.00
Formation energy without anion corrections (meV per atom): -181
DOS(E_F) (states/eV/cell): 1.4



Computed, not measured: an optimized crystal structure of AgHgBr2 at the PBE level of DFT.

Structure (POSCAR):
```
AgHgBr2
1.0
13.8908 0.0000 0.0000
0.0000 4.0603 0.0000
-1.1839 0.0000 3.8823
Ag Hg Br
2 2 4
Direct
0.0000 0.0000 0.0000 Ag
0.5000 0.5000 0.0000 Ag
0.2890 0.5000 0.7858 Hg
0.7890 0.0000 0.7858 Hg
0.2041 0.0000 0.2025 Br
0.4807 0.0000 0.4804 Br
0.7041 0.5000 0.2025 Br
0.9807 0.5000 0.4804 Br
```

Output
Energy (Ry/atom): -0.1356
Magnetization (μB per cell): 0.00
Formation energy without anion corrections (meV per atom): -220
DOS(E_F) (states/eV/cell): 2.4



Computed, not measured: an optimized crystal structure of AgHg4Br2 at the PBE level of DFT.

Structure (POSCAR):
```
AgHg4Br2
1.0
5.5208 0.0000 0.0000
0.0000 5.5208 0.0000
0.0000 0.0000 15.6284
Ag Hg Br
2 8 4
Direct
0.0000 0.0000 0.0000 Ag
0.5000 0.5000 0.5000 Ag
0.0000 0.0000 0.1697 Hg
0.0000 0.0000 0.8303 Hg
0.0000 0.5000 0.0000 Hg
0.0000 0.5000 0.5000 Hg
0.5000 0.0000 0.0000 Hg
0.5000 0.0000 0.5000 Hg
0.5000 0.5000 0.3303 Hg
0.5000 0.5000 0.6697 Hg
0.0000 0.0000 0.3379 Br
0.0000 0.0000 0.6621 Br
0.5000 0.5000 0.1621 Br
0.5000 0.5000 0.8379 Br
```

Output
Energy (Ry/atom): -0.0883
Magnetization (μB per cell): 0.00
Formation energy without anion corrections (meV per atom): -144
DOS(E_F) (states/eV/cell): 3.6



Computed, not measured: an optimized crystal structure of AgHgBr at the PBE level of DFT.

Structure (POSCAR):
```
AgHgBr
1.0
14.4703 0.0000 0.0000
0.0000 4.6062 0.0000
-1.0942 0.0000 6.0776
Ag Hg Br
4 4 4
Direct
0.1518 0.0000 0.4579 Ag
0.3482 0.5000 0.5421 Ag
0.6518 0.5000 0.4579 Ag
0.8482 0.0000 0.5421 Ag
0.0512 0.0000 0.8059 Hg
0.4488 0.5000 0.1941 Hg
0.5512 0.5000 0.8059 Hg
0.9488 0.0000 0.1941 Hg
0.1710 0.5000 0.2455 Br
0.3290 0.0000 0.7545 Br
0.6710 0.0000 0.2455 Br
0.8290 0.5000 0.7545 Br
```

Output
Energy (Ry/atom): -0.1325
Magnetization (μB per cell): 0.00
Formation energy without anion corrections (meV per atom): -195



Computed, not measured: an optimized crystal structure of Ag2HgBr at the PBE level of DFT.

Structure (POSCAR):
```
Ag2HgBr
1.0
4.6305 0.0000 0.0000
0.0000 3.6668 0.0000
-0.3094 0.0000 6.6728
Ag Hg Br
2 1 1
Direct
0.0000 0.0000 0.0000 Ag
0.0235 0.5000 0.3221 Ag
0.5067 0.5000 0.0661 Hg
0.1401 0.0000 0.6122 Br
```

Output
Energy (Ry/atom): -0.1465
Magnetization (μB per cell): 0.00
Formation energy without anion corrections (meV per atom): -74
DOS(E_F) (states/eV/cell): 0.6



Computed, not measured: an optimized crystal structure of Ag2HgBr at the PBE level of DFT.

Structure (POSCAR):
```
Ag2HgBr
1.0
7.2144 0.0000 0.0000
0.0000 7.2144 0.0000
0.0000 0.0000 7.2144
Ag Hg Br
8 4 4
Direct
0.0000 0.0000 0.0000 Ag
0.0000 0.5000 0.5000 Ag
0.2500 0.2500 0.2500 Ag
0.2500 0.7500 0.7500 Ag
0.5000 0.0000 0.5000 Ag
0.5000 0.5000 0.0000 Ag
0.7500 0.2500 0.7500 Ag
0.7500 0.7500 0.2500 Ag
0.2500 0.2500 0.7500 Hg
0.2500 0.7500 0.2500 Hg
0.7500 0.2500 0.2500 Hg
0.7500 0.7500 0.7500 Hg
0.0000 0.0000 0.5000 Br
0.0000 0.5000 0.0000 Br
0.5000 0.0000 0.0000 Br
0.5000 0.5000 0.5000 Br
```

Output
Energy (Ry/atom): -0.1198
Magnetization (μB per cell): 0.00
Formation energy without anion corrections (meV per atom): 289
DOS(E_F) (states/eV/cell): 15.6



Computed, not measured: an optimized crystal structure of Ag3Hg2Br7 at the PBE level of DFT.

Structure (POSCAR):
```
Ag3Hg2Br7
1.0
14.1800 -3.9452 0.0000
14.1800 3.9452 0.0000
0.0000 0.0000 6.9915
Ag Hg Br
6 4 14
Direct
0.1145 0.4512 0.6158 Ag
0.1600 0.8400 0.5000 Ag
0.4512 0.1145 0.1158 Ag
0.5488 0.8855 0.6158 Ag
0.8400 0.1600 0.0000 Ag
0.8855 0.5488 0.1158 Ag
0.1438 0.6483 0.0492 Hg
0.3517 0.8562 0.0492 Hg
0.6483 0.1438 0.5492 Hg
0.8562 0.3517 0.5492 Hg
0.0151 0.2705 0.2572 Br
0.1372 0.4496 0.2306 Br
0.1628 0.8372 0.8841 Br
0.2705 0.0151 0.7572 Br
0.3020 0.5593 0.3484 Br
0.4407 0.6980 0.3484 Br
0.4496 0.1372 0.7306 Br
0.5504 0.8628 0.2306 Br
0.5593 0.3020 0.8484 Br
0.6980 0.4407 0.8484 Br
0.7295 0.9849 0.2572 Br
0.8372 0.1628 0.3841 Br
0.8628 0.5504 0.7306 Br
0.9849 0.7295 0.7572 Br
```

Output
Energy (Ry/atom): -0.1552
Magnetization (μB per cell): 0.00
Formation energy without anion corrections (meV per atom): -372



Computed, not measured: an optimized crystal structure of In2AgHgBr at the PBE level of DFT.

Structure (POSCAR):
```
In2AgHgBr
1.0
5.4538 0.0000 0.0000
0.0000 5.4538 0.0000
0.0000 0.0000 5.3676
In Ag Hg Br
2 1 1 1
Direct
0.0000 0.5000 0.0000 In
0.5000 0.0000 0.0000 In
0.0000 0.0000 0.0000 Ag
0.0000 0.0000 0.5000 Hg
0.5000 0.5000 0.5000 Br
```

Output
Energy (Ry/atom): -0.1586
Magnetization (μB per cell): 0.00
Formation energy without anion corrections (meV per atom): -97
DOS(E_F) (states/eV/cell): 1.4